(1)
First-principles (PBE) data for a relaxed structure of GaB3P, as listed in the Alexandria database.

Lattice parameters (Å, degrees): 3.911 3.911 3.911 90.00 90.00 90.00
Space group Pm-3m (No. 221)
Asymmetric unit:
Ga1 0.000 0.000 0.000 [1 per cell]
B1 0.000 0.500 0.500 [3 per cell]
P1 0.500 0.500 0.500 [1 per cell]

Output
Formation energy from the elements: 6.91 eV/f.u.
Total energy: -21.6 eV/cell
Offset from the most stable computed form: 0.0 kJ/mol of formula units

(2)
First-principles (PBE) data for a relaxed structure of GaBP3, as listed in the Alexandria database.

Lattice parameters (Å, degrees): 4.682 4.682 4.682 90.00 90.00 90.00
Space group Pm-3m (No. 221)
Asymmetric unit:
Ga1 0.000 0.000 0.000 [1 per cell]
B1 0.500 0.500 0.500 [1 per cell]
P1 0.000 0.000 0.500 [3 per cell]

Output
Formation energy from the elements: 8.96 eV/f.u.
Total energy: -17.0 eV/cell
Offset from the most stable computed form: 490.5 kJ/mol of formula units

(3)
First-principles (PBE) data for a relaxed structure of GaBP2, as listed in the Alexandria database.

Lattice parameters (Å, degrees): 6.005 6.005 6.005 90.00 90.00 90.00
Space group Fm-3m (No. 225)
Asymmetric unit:
Ga1 0.000 0.000 0.000 [4 per cell]
B1 0.000 0.000 0.500 [4 per cell]
P1 0.250 0.250 0.250 [8 per cell]

Output
Formation energy from the elements: 4.33 eV/f.u.
Total energy: -64.8 eV/cell
Offset from the most stable computed form: 527.1 kJ/mol of formula units

(4)
First-principles (PBE) data for a relaxed structure of GaBP3, as listed in the Alexandria database.

Lattice parameters (Å, degrees): 4.176 4.176 4.176 90.00 90.00 90.00
Space group Pm-3m (No. 221)
Asymmetric unit:
Ga1 0.000 0.000 0.000 [1 per cell]
B1 0.500 0.500 0.500 [1 per cell]
P1 0.000 0.500 0.500 [3 per cell]

Output
Formation energy from the elements: 3.88 eV/f.u.
Total energy: -22.1 eV/cell
Offset from the most stable computed form: 0.0 kJ/mol of formula units

(5)
First-principles (PBE) data for a relaxed structure of GaBP2, as listed in the Alexandria database.

Lattice parameters (Å, degrees): 5.068 5.068 9.767 90.00 90.00 90.00
Space group I-42d (No. 122)
Asymmetric unit:
Ga1 0.000 0.000 0.000 [4 per cell]
B1 0.000 0.000 0.500 [4 per cell]
P1 0.192 0.250 0.625 [8 per cell]

Output
Formation energy from the elements: -1.13 eV/f.u.
Total energy: -86.6 eV/cell
Offset from the most stable computed form: 0.0 kJ/mol of formula units

(6)
First-principles (PBE) data for a relaxed structure of Ga2BP, as listed in the Alexandria database.

Lattice parameters (Å, degrees): 4.882 4.882 11.623 90.00 90.00 90.00
Space group I-42d (No. 122)
Asymmetric unit:
Ga1 0.197 0.250 0.125 [8 per cell]
B1 0.000 0.000 0.000 [4 per cell]
P1 0.000 0.000 0.500 [4 per cell]

Output
Formation energy from the elements: 1.26 eV/f.u.
Total energy: -67.5 eV/cell
Offset from the most stable computed form: 0.0 kJ/mol of formula units

(7)
First-principles (PBE) data for a relaxed structure of GaB3P, as listed in the Alexandria database.

Lattice parameters (Å, degrees): 4.120 4.120 4.120 90.00 90.00 90.00
Space group Pm-3m (No. 221)
Asymmetric unit:
Ga1 0.000 0.000 0.000 [1 per cell]
B1 0.000 0.000 0.500 [3 per cell]
P1 0.500 0.500 0.500 [1 per cell]

Output
Formation energy from the elements: 10.35 eV/f.u.
Total energy: -18.1 eV/cell
Offset from the most stable computed form: 332.0 kJ/mol of formula units

(8)
First-principles (PBE) data for a relaxed structure of Ga2BP, as listed in the Alexandria database.

Lattice parameters (Å, degrees): 6.180 6.180 6.180 90.00 90.00 90.00
Space group Fm-3m (No. 225)
Asymmetric unit:
Ga1 0.250 0.250 0.250 [8 per cell]
B1 0.000 0.000 0.000 [4 per cell]
P1 0.000 0.000 0.500 [4 per cell]

Output
Formation energy from the elements: 3.50 eV/f.u.
Total energy: -58.6 eV/cell
Offset from the most stable computed form: 215.5 kJ/mol of formula units